Computed, not measured: TlP2O6 after structural relaxation at the GGA-PBE level of DFT.

```
TlP2O6
1.0
4.847 0.039 0.757
1.011 7.461 0.258
-0.065 0.059 7.533
Tl P O
2 4 12
Direct
0.250 0.141 0.859
0.750 0.859 0.141
0.251 0.636 0.799
0.249 0.201 0.364
0.749 0.364 0.201
0.751 0.799 0.636
0.488 0.691 0.641
0.012 0.359 0.309
0.512 0.309 0.359
0.988 0.641 0.691
0.829 0.859 0.447
0.671 0.553 0.141
0.171 0.141 0.553
0.329 0.447 0.859
0.195 0.782 0.939
0.305 0.061 0.218
0.805 0.218 0.061
0.695 0.939 0.782
```

Properties
**Volume**: 272.42 Å³/cell
**Size of the total moment**: 0.00 μB/f.u.
**Formation energy (no corrections)**: -1769 meV per atom